No. 1
Here is an optimized crystal structure of Sr2InSe2 from the Alexandria database. Energies are from PBE-GGA.

a b c (Å): 8.499 8.499 4.089
angles (deg): 90.00 90.00 90.00
Atoms (fractional coordinates):
Sr  0.157  0.343  0.000
Sr  0.343  0.843  0.000
Sr  0.657  0.157  0.000
Sr  0.843  0.657  0.000
In  0.000  0.000  0.500
In  0.500  0.500  0.500
Se  0.150  0.650  0.500
Se  0.350  0.150  0.500
Se  0.650  0.850  0.500
Se  0.850  0.350  0.500

Properties
For the total magnetization, the calculation gives 0.000 μB/cell. As for the space-group type: P4/mbm, No. 127. For the total energy, the calculation gives -3.990 eV per atom.

---

No. 2
Here is an optimized crystal structure of Rb2BaMgI6 from the Alexandria database. Energies are from PBE-GGA.

a b c (Å): 8.847 8.847 8.847
angles (deg): 59.45 59.45 59.45
Atoms (fractional coordinates):
Rb  0.000  0.000  0.000
Rb  0.499  0.499  0.499
Ba  0.221  0.221  0.221
Mg  0.719  0.719  0.719
I  0.035  0.484  0.864
I  0.401  0.938  0.576
I  0.484  0.864  0.035
I  0.576  0.401  0.938
I  0.864  0.035  0.484
I  0.938  0.576  0.401

Properties
For the total magnetization, the calculation gives 0.000 μB/cell. As for the space-group type: R3, No. 146. For the total energy, the calculation gives -2.882 eV per atom.

---

No. 3
Here is an optimized crystal structure of RbFe2S2 from the Alexandria database. Energies are from PBE-GGA.

a b c (Å): 3.653 3.653 7.251
angles (deg): 90.00 90.00 90.00
Atoms (fractional coordinates):
Rb  0.000  0.000  0.000
Fe  0.000  0.500  0.500
Fe  0.500  0.000  0.500
S  0.500  0.500  0.295
S  0.500  0.500  0.705

Properties
For the total magnetization, the calculation gives 4.922 μB/cell. As for the space-group type: P4/mmm, No. 123. For the total energy, the calculation gives -5.743 eV per atom.

---

Let's list ΔE_f (raw) in order: -1.38 -1.41 -0.51 eV per atom.